5
Lattice="6.0239 0.0000 0.0000 0.0000 6.0239 0.0000 0.0000 0.0000 3.5770" Properties=species:S:1:pos:R:3 comment="PBE-GGA CsHfSn2H, relaxed" dft_energy_ev_per_atom=-4.092 spacegroup="P4/mmm (123)" pbc="T T T"
Cs 0.0000 0.0000 0.0000
Hf 3.0119 3.0119 0.0000
Sn 0.0000 3.0119 1.7885
Sn 3.0119 0.0000 1.7885
H 3.0119 3.0119 1.7885


104
Lattice="7.6669 0.0000 0.0000 -3.8335 6.6398 0.0000 0.0000 0.0000 16.0187" Properties=species:S:1:pos:R:3 comment="PBE-GGA Li2AlB5H38N6, relaxed" dft_energy_ev_per_atom=-4.551 spacegroup="P-3c1 (165)" pbc="T T T"
Li 0.0000 4.4265 4.5304
Li 0.0000 4.4265 12.5397
Li 3.8335 2.2133 3.4790
Li 3.8335 2.2133 11.4883
Al 0.0000 0.0000 0.0000
Al 0.0000 0.0000 8.0093
B -1.4505 2.5123 4.0047
B -2.3830 4.1275 12.0140
B 0.0000 4.4265 7.2174
B 0.0000 4.4265 15.2267
B 2.9009 0.0000 4.0047
B 1.4505 2.5123 12.0140
B 4.7660 0.0000 12.0140
B 2.3830 4.1275 4.0047
B 3.8335 2.2133 0.7919
B 3.8335 2.2133 8.8013
H -0.7684 1.9982 14.5057
H -2.4872 4.9752 6.4964
H -0.2176 1.7275 2.0125
H -1.2185 3.4668 3.2678
H -1.4404 3.8511 11.2771
H -2.4462 5.5875 10.0218
H -0.4600 2.2535 4.6817
H -2.1119 5.1146 12.6910
H -0.2603 2.5344 8.6781
H -1.7687 5.1471 0.6687
H 0.2176 1.7275 10.0218
H -2.2286 5.9645 2.0125
H -0.7397 3.5396 6.8035
H -1.1380 4.2293 14.8129
H 0.2603 2.5344 0.6687
H -1.5084 5.5980 8.6781
H 0.4600 2.2535 12.6910
H -1.6518 5.9114 4.6817
H 0.7684 1.9982 6.4964
H -1.7187 6.3061 14.5057
H 1.6049 0.6753 5.9968
H 1.3872 1.0522 14.0062
H 2.1147 0.3336 9.5223
H 1.3463 1.6646 1.5130
H 0.0000 4.4265 0.4360
H 0.0000 4.4265 8.4453
H 2.1816 0.7284 3.3277
H 1.7216 1.5252 11.3370
H 0.7397 3.5396 14.8129
H -0.3982 5.5106 6.8035
H 2.3250 1.0418 15.3500
H 2.0648 1.4926 7.3406
H 1.2185 3.4668 11.2771
H -0.2219 5.9617 3.2678
H 1.1380 4.2293 6.8035
H 0.3982 5.5106 14.8129
H 1.4404 3.8511 3.2678
H 0.2219 5.9617 11.2771
H 3.6116 0.6781 4.7416
H 2.3930 2.7887 12.7509
H 3.4352 1.1292 1.2058
H 2.6955 2.4104 9.2151
H 4.0554 0.6781 12.7509
H 2.6149 3.1730 4.7416
H 1.7687 5.1471 8.6781
H 1.5084 5.5980 0.6687
H 4.2317 1.1292 9.2151
H 3.0937 3.1002 1.2058
H 2.1119 5.1146 4.6817
H 1.6518 5.9114 12.6910
H 3.8335 2.2133 7.5734
H 3.8335 2.2133 15.5827
H 2.4872 4.9752 14.5057
H 1.7187 6.3061 6.4964
H 2.4462 5.5875 2.0125
H 2.2286 5.9645 10.0218
H 5.5522 0.3336 1.5130
H 3.0650 4.6415 9.5223
H 5.4853 0.7284 11.3370
H 3.3734 4.3862 3.3277
H 5.3419 1.0418 7.3406
H 3.5732 4.1053 15.3500
H 4.9714 2.4104 1.2058
H 4.5732 3.1002 9.2151
H 6.0621 0.6753 14.0062
H 3.6158 4.9123 5.9968
H 5.6022 1.4926 15.3500
H 4.0938 4.1053 7.3406
H 5.9453 1.5252 3.3277
H 4.2935 4.3862 11.3370
H 6.2797 1.0522 5.9968
H 5.2739 2.7887 4.7416
H 5.0520 3.1730 12.7509
H 4.0511 4.9123 14.0062
H 6.3206 1.6646 9.5223
H 4.6019 4.6415 1.5130
N -0.3750 1.6396 9.1816
N -2.6010 5.4952 1.1723
N 0.3750 1.6396 1.1723
N -2.2260 6.1447 9.1816
N 1.6075 0.4951 14.8464
N 1.2325 1.1446 6.8370
N 2.6010 5.4952 9.1816
N 2.2260 6.1447 1.1723
N 6.0595 0.4951 6.8370
N 3.4585 5.0001 14.8464
N 6.4345 1.1446 14.8464
N 4.2085 5.0001 6.8370